No. 1
CeTe2Pd2: optimized geometry, PBE-GGA.

## Properties
Raw formation energy: -839 meV/atom
Volume: 483 Å³/cell

Lattice parameters (Å, degrees): 9.478 4.430 11.510 90.00 90.00 90.00
Space group Pnma (No. 62)
Symmetry-distinct sites (fractional):
Ce 0.192 0.250 0.175
Te 0.037 0.250 0.697
Te 0.207 0.750 0.953
Pd 0.003 0.250 0.422
Pd 0.047 0.250 0.931

---

No. 2
CeTe2Pd: optimized geometry, PBE-GGA.

## Properties
Raw formation energy: -847 meV/atom
Volume: 96 Å³/cell

Lattice parameters (Å, degrees): 4.936 4.936 3.941 90.00 90.00 90.00
Space group P4/mmm (No. 123)
Symmetry-distinct sites (fractional):
Ce 0.000 0.000 0.000
Te 0.000 0.500 0.500
Pd 0.500 0.500 0.000

---

No. 3
CeTePd2: optimized geometry, PBE-GGA.

## Properties
Raw formation energy: -722 meV/atom
Volume: 335 Å³/cell

Lattice parameters (Å, degrees): 6.948 6.948 6.948 90.00 90.00 90.00
Space group Fm-3m (No. 225)
Symmetry-distinct sites (fractional):
Ce 0.000 0.000 0.000
Te 0.000 0.000 0.500
Pd 0.250 0.250 0.250

---

No. 4
Ce2Te3Pd: optimized geometry, PBE-GGA.

## Properties
Raw formation energy: -1165 meV/atom
Volume: 697 Å³/cell

Lattice parameters (Å, degrees): 9.017 4.408 17.523 90.00 90.00 90.00
Space group Pnma (No. 62)
Symmetry-distinct sites (fractional):
Ce 0.092 0.250 0.213
Ce 0.226 0.750 0.473
Te 0.026 0.250 0.397
Te 0.100 0.750 0.070
Te 0.184 0.250 0.785
Pd 0.130 0.250 0.632

---

No. 5
Ce3Te4Pd2: optimized geometry, PBE-GGA.

## Properties
Raw formation energy: -1099 meV/atom
Volume: 495 Å³/cell

Lattice parameters (Å, degrees): 16.310 4.319 7.905 90.00 117.33 90.00
Space group C2/m (No. 12)
Symmetry-distinct sites (fractional):
Ce 0.000 0.000 0.000
Ce 0.127 0.000 0.628
Te 0.007 0.500 0.287
Te 0.213 0.000 0.233
Pd 0.179 0.500 0.975

---

No. 6
CeTh2Pd7: optimized geometry, PBE-GGA.

## Properties
Volume: 856 Å³/cell
DFT formation energy: -6.7 eV/f.u.

Lattice parameters (Å, degrees): 5.760 8.687 17.115 90.00 90.00 90.00
Space group Fmmm (No. 69)
Symmetry-distinct sites (fractional):
Ce 0.000 0.000 0.000
Th 0.000 0.000 0.330
Pd 0.000 0.000 0.500
Pd 0.250 0.250 0.084
Pd 0.250 0.250 0.250

---

No. 7
Ce2ThPd: optimized geometry, PBE-GGA.

## Properties
Volume: 104 Å³/cell
DFT formation energy: -1.3 eV/f.u.

Lattice parameters (Å, degrees): 3.585 3.585 8.083 90.00 90.00 90.00
Space group P4/mmm (No. 123)
Symmetry-distinct sites (fractional):
Ce 0.000 0.000 0.215
Th 0.500 0.500 0.500
Pd 0.500 0.500 0.000

---

No. 8
CeTh4Pd15: optimized geometry, PBE-GGA.

## Properties
Volume: 374 Å³/cell
DFT formation energy: -18.0 eV/f.u.

Lattice parameters (Å, degrees): 4.209 4.209 21.089 90.00 90.00 90.00
Space group P4/mmm (No. 123)
Symmetry-distinct sites (fractional):
Ce 0.000 0.000 0.000
Th 0.000 0.000 0.198
Th 0.000 0.000 0.399
Pd 0.000 0.500 0.100
Pd 0.000 0.500 0.300
Pd 0.000 0.500 0.500
Pd 0.500 0.500 0.000
Pd 0.500 0.500 0.201
Pd 0.500 0.500 0.400

---

No. 9
CeTh3Pd2: optimized geometry, PBE-GGA.

## Properties
Volume: 632 Å³/cell
DFT formation energy: -2.9 eV/f.u.

Lattice parameters (Å, degrees): 10.192 10.471 5.926 90.00 90.00 90.00
Space group C2/m (No. 12)
Symmetry-distinct sites (fractional):
Ce 0.087 0.000 0.250
Th 0.090 0.500 0.750
Th 0.249 0.338 0.250
Pd 0.000 0.249 0.000
Pd 0.000 0.249 0.500

---

No. 10
Ce4ThPd15: optimized geometry, PBE-GGA.

## Properties
Volume: 364 Å³/cell
DFT formation energy: -16.9 eV/f.u.

Lattice parameters (Å, degrees): 4.178 4.178 20.848 90.00 90.00 90.00
Space group P4/mmm (No. 123)
Symmetry-distinct sites (fractional):
Ce 0.000 0.000 0.099
Ce 0.000 0.000 0.297
Th 0.000 0.000 0.500
Pd 0.000 0.500 0.000
Pd 0.000 0.500 0.199
Pd 0.000 0.500 0.399
Pd 0.500 0.500 0.100
Pd 0.500 0.500 0.299
Pd 0.500 0.500 0.500

---

No. 11
CeTh3Pd12: optimized geometry, PBE-GGA.

## Properties
Volume: 298 Å³/cell
DFT formation energy: -14.4 eV/f.u.

Lattice parameters (Å, degrees): 4.210 4.210 16.842 90.00 90.00 90.00
Space group P4/mmm (No. 123)
Symmetry-distinct sites (fractional):
Ce 0.000 0.000 0.000
Th 0.000 0.000 0.247
Th 0.000 0.000 0.500
Pd 0.000 0.500 0.125
Pd 0.000 0.500 0.375
Pd 0.500 0.500 0.000
Pd 0.500 0.500 0.251
Pd 0.500 0.500 0.500

---

No. 12
Ce2ThPd: optimized geometry, PBE-GGA.

## Properties
Volume: 320 Å³/cell
DFT formation energy: 0.3 eV/f.u.

Lattice parameters (Å, degrees): 3.3581 3.3581 32.7271 90.00 90.00 120.00
Space group R-3m (No. 166, hexagonal axes)
Symmetry-distinct sites (fractional):
Ce 0.0000 0.0000 0.0808
Th 0.0000 0.0000 0.5000
Pd 0.0000 0.0000 0.0000

---

No. 13
Ce2ThPd: optimized geometry, PBE-GGA.

## Properties
Volume: 330 Å³/cell
DFT formation energy: -0.6 eV/f.u.

Lattice parameters (Å, degrees): 3.6061 3.6061 29.2868 90.00 90.00 120.00
Space group R3m (No. 160, hexagonal axes)
Symmetry-distinct sites (fractional):
Ce 0.0000 0.0000 0.0000
Ce 0.0000 0.0000 0.1939
Th 0.0000 0.0000 0.7642
Pd 0.0000 0.0000 0.5958

---

No. 14
CeThTlPd: optimized geometry, PBE-GGA.

## Properties
Volume: 426 Å³/cell
DFT formation energy: -1.1 eV/f.u.

Lattice parameters (Å, degrees): 7.522 7.522 7.522 90.00 90.00 90.00
Space group F-43m (No. 216)
Symmetry-distinct sites (fractional):
Ce 0.000 0.000 0.000
Th 0.000 0.000 0.500
Tl 0.250 0.250 0.250
Pd 0.250 0.250 0.750

---

No. 15
Ce3TiPd12: optimized geometry, PBE-GGA.

## Properties
Volume: 277 Å³/cell
DFT formation energy: -12.1 eV/f.u.

Lattice parameters (Å, degrees): 4.110 4.110 16.368 90.00 90.00 90.00
Space group P4/mmm (No. 123)
Symmetry-distinct sites (fractional):
Ce 0.000 0.000 0.000
Ce 0.000 0.000 0.257
Ti 0.000 0.000 0.500
Pd 0.000 0.500 0.129
Pd 0.000 0.500 0.387
Pd 0.500 0.500 0.000
Pd 0.500 0.500 0.258
Pd 0.500 0.500 0.500

---

No. 16
CeTi2Pd9: optimized geometry, PBE-GGA.

## Properties
Volume: 193 Å³/cell
DFT formation energy: -8.1 eV/f.u.

Lattice parameters (Å, degrees): 4.017 4.017 11.969 90.00 90.00 90.00
Space group P4/mmm (No. 123)
Symmetry-distinct sites (fractional):
Ce 0.000 0.000 0.000
Ti 0.000 0.000 0.339
Pd 0.000 0.500 0.181
Pd 0.000 0.500 0.500
Pd 0.500 0.500 0.000
Pd 0.500 0.500 0.341

---

No. 17
Ce2TiPd: optimized geometry, PBE-GGA.

## Properties
Volume: 82 Å³/cell
DFT formation energy: -0.3 eV/f.u.

Lattice parameters (Å, degrees): 4.006 4.006 5.130 90.00 90.00 90.00
Space group P4/mmm (No. 123)
Symmetry-distinct sites (fractional):
Ce 0.000 0.500 0.000
Ti 0.000 0.000 0.500
Pd 0.500 0.500 0.500

---

No. 18
Ce2TiPd9: optimized geometry, PBE-GGA.

## Properties
Volume: 205 Å³/cell
DFT formation energy: -8.9 eV/f.u.

Lattice parameters (Å, degrees): 4.094 4.094 12.207 90.00 90.00 90.00
Space group P4/mmm (No. 123)
Symmetry-distinct sites (fractional):
Ce 0.000 0.000 0.173
Ti 0.000 0.000 0.500
Pd 0.000 0.500 0.000
Pd 0.000 0.500 0.348
Pd 0.500 0.500 0.174
Pd 0.500 0.500 0.500

---

No. 19
Ce2TiPd: optimized geometry, PBE-GGA.

## Properties
Volume: 93 Å³/cell
DFT formation energy: -0.6 eV/f.u.

Lattice parameters (Å, degrees): 3.688 3.688 6.873 90.00 90.00 90.00
Space group P4/mmm (No. 123)
Symmetry-distinct sites (fractional):
Ce 0.000 0.000 0.236
Ti 0.500 0.500 0.500
Pd 0.500 0.500 0.000

---

No. 20
Ce2TiPd: optimized geometry, PBE-GGA.

## Properties
Volume: 246 Å³/cell
DFT formation energy: 0.0 eV/f.u.

Lattice parameters (Å, degrees): 2.9949 2.9949 31.6372 90.00 90.00 120.00
Space group R-3m (No. 166, hexagonal axes)
Symmetry-distinct sites (fractional):
Ce 0.0000 0.0000 0.0862
Ti 0.0000 0.0000 0.0000
Pd 0.0000 0.0000 0.5000

---

One value per record, in order, for total magnetic moment: 2.83 0.41 0.92 7.82 7.00 1.84 0.00 0.63 2.64 1.92 0.66 3.77 2.45 5.67 1.23 0.50 0.02 0.85 3.18 1.33 μB per cell.